# 1
Here is Ac2MgCo after structural relaxation from Alexandria via LeMat-Bulk. Energies are from PBE.

```
Ac2MgCo
1.0
3.7405 0.0000 0.0000
0.0000 3.7405 0.0000
0.0000 0.0000 8.5473
Ac Co Mg
2 1 1
direct
0.0000 0.0000 0.2090
0.0000 0.0000 0.7910
0.5000 0.5000 0.0000
0.5000 0.5000 0.5000
```

Output
As for the formation enthalpy at 0 K: 0.07 eV per atom. As for the space group: P4/mmm. As for the crystal system: tetragonal. The mass density comes out at 7.5 Mg/m³. As for the total energy: -16.63 eV for the cell shown.

# 2
Here is Ac10Mg2Co3 after structural relaxation from Alexandria via LeMat-Bulk. Energies are from PBE.

```
Ac10Mg2Co3
1.0
7.6923 0.0000 -2.5035
-1.3051 10.0939 -4.0099
0.2870 0.2471 13.9510
Mg Ac Co
4 20 6
direct
0.7344 0.3104 0.4688
0.3731 0.2521 0.7462
0.6269 0.7479 0.2538
0.2656 0.6896 0.5312
0.1312 0.7429 0.2624
0.2381 0.2992 0.4761
0.8944 0.4568 0.2915
0.6029 0.5432 0.7085
0.0148 0.1891 0.0296
0.8522 0.0483 0.2287
0.1056 0.5432 0.7085
0.2485 0.5000 0.0000
0.6235 0.9517 0.7713
0.1478 0.9517 0.7713
0.5000 0.0000 0.5000
0.3765 0.0483 0.2287
0.9852 0.8109 0.9704
0.7515 0.5000 0.0000
0.5131 0.1935 0.0261
0.3971 0.4568 0.2915
0.8688 0.2571 0.7376
0.0000 0.0000 0.5000
0.4869 0.8065 0.9739
0.7619 0.7008 0.5239
0.0732 0.4716 0.1463
0.8190 0.9762 0.6381
0.7421 0.0000 0.0000
0.1810 0.0238 0.3619
0.9268 0.5284 0.8537
0.2579 0.0000 0.0000
```

Output
As for the formation enthalpy at 0 K: -0.01 eV per atom. As for the space group: C2/m. As for the crystal system: monoclinic. The mass density comes out at 7.5 Mg/m³. As for the total energy: -131.54 eV for the cell shown.

Question: Which value of formation enthalpy at 0 K does entry 1 give?
Answer: 0.07 eV per atom

Question: The lowest formation enthalpy at 0 K belongs to which entry?
Answer: Ac10Mg2Co3

Question: What is the formula in the first record?
Answer: Ac2MgCo